Here is crystalline Pr3Ga4Ni7 at its relaxed geometry from Alexandria. Energies are from PBE.

```
data_Pr3Ga4Ni7
_chemical_formula_sum 'Pr6 Ga8 Ni14'
_cell_length_a 14.7882
_cell_length_b 4.1313
_cell_length_c 9.3030
_cell_angle_alpha 90.00
_cell_angle_beta 124.94
_cell_angle_gamma 90.00
_space_group_name_H-M_alt 'C 1 2/m 1'
_space_group_IT_number 12
loop_
_space_group_symop_operation_xyz
'x,y,z'
'-x,-y,-z'
'-x,y,-z'
'x,-y,z'
'x+1/2,y+1/2,z'
'-x+1/2,-y+1/2,-z'
'-x+1/2,y+1/2,-z'
'x+1/2,-y+1/2,z'
loop_
_atom_site_label
_atom_site_type_symbol
_atom_site_fract_x
_atom_site_fract_y
_atom_site_fract_z
Pr1 Pr 0.0000 0.0000 0.0000
Pr2 Pr 0.1839 0.5000 0.6807
Ga1 Ga 0.1241 0.0000 0.3949
Ga2 Ga 0.1759 0.5000 0.0137
Ni1 Ni 0.0000 0.0000 0.5000
Ni2 Ni 0.0041 0.5000 0.2956
Ni3 Ni 0.1103 0.0000 0.8291
Ni4 Ni 0.1678 0.5000 0.2873
```

Output
**Uncorrected energy**: -5.243 eV per atom

Here is crystalline Pr3Ga2Ni9 at its relaxed geometry from Alexandria. Energies are from PBE.

```
data_Pr3Ga2Ni9
_chemical_formula_sum 'Pr6 Ga4 Ni18'
_cell_length_a 4.0228
_cell_length_b 9.3763
_cell_length_c 12.2562
_cell_angle_alpha 90.00
_cell_angle_beta 90.00
_cell_angle_gamma 90.00
_space_group_name_H-M_alt 'I m m m'
_space_group_IT_number 71
_space_group_name_Hall '-I 2 2'
loop_
_atom_site_label
_atom_site_type_symbol
_atom_site_fract_x
_atom_site_fract_y
_atom_site_fract_z
Pr1 Pr 0.0000 0.0000 0.0000
Pr2 Pr 0.0000 0.0000 0.3038
Ga1 Ga 0.0000 0.2223 0.5000
Ni1 Ni 0.0000 0.2777 0.1077
Ni2 Ni 0.0000 0.3078 0.3046
Ni3 Ni 0.0000 0.5000 0.0000
```

Output
**Uncorrected energy**: -5.499 eV per atom

Here is crystalline Pr2Ga2Ni15 at its relaxed geometry from Alexandria. Energies are from PBE.

```
data_Pr2Ga2Ni15
_chemical_formula_sum 'Pr6 Ga6 Ni45'
_cell_length_a 8.4240
_cell_length_b 8.4240
_cell_length_c 12.3635
_cell_angle_alpha 90.00
_cell_angle_beta 90.00
_cell_angle_gamma 120.00
_space_group_name_H-M_alt 'R -3 m'
_space_group_IT_number 166
_space_group_name_Hall '-R 3 2"'
loop_
_atom_site_label
_atom_site_type_symbol
_atom_site_fract_x
_atom_site_fract_y
_atom_site_fract_z
Pr1 Pr 0.0000 0.0000 0.1511
Ga1 Ga 0.0000 0.0000 0.3975
Ni1 Ni 0.0000 0.2931 0.5000
Ni2 Ni 0.0000 0.5000 0.0000
Ni3 Ni 0.0047 0.5023 0.3447
```

Output
**Uncorrected energy**: -5.613 eV per atom

Here is crystalline Pr4Ga3Ni at its relaxed geometry from Alexandria. Energies are from PBE.

```
data_Pr4Ga3Ni
_chemical_formula_sum 'Pr4 Ga3 Ni1'
_cell_length_a 4.3039
_cell_length_b 4.4336
_cell_length_c 10.7970
_cell_angle_alpha 90.00
_cell_angle_beta 90.00
_cell_angle_gamma 90.00
_space_group_name_H-M_alt 'P m m 2'
_space_group_IT_number 25
loop_
_space_group_symop_operation_xyz
'x,y,z'
'-x,-y,z'
'-x,y,z'
'x,-y,z'
loop_
_atom_site_label
_atom_site_type_symbol
_atom_site_fract_x
_atom_site_fract_y
_atom_site_fract_z
Pr1 Pr 0.0000 0.0000 0.0000
Pr2 Pr 0.0000 0.5000 0.4666
Pr3 Pr 0.5000 0.0000 0.6923
Pr4 Pr 0.5000 0.5000 0.1954
Ga1 Ga 0.0000 0.5000 0.7671
Ga2 Ga 0.5000 0.0000 0.3957
Ga3 Ga 0.5000 0.5000 0.9113
Ni1 Ni 0.0000 0.0000 0.2750
```

Output
**Uncorrected energy**: -4.731 eV per atom